# 1
First-principles (GGA-PBE) data for a geometry-optimized Ce3TeAs2Rh9 structure, as listed in Alexandria.

Properties
Symmetry: P-3m1 (164)

Unit cell a=6.619 b=6.619 c=8.510 alpha=90.00 beta=90.00 gamma=120.00
Each line ends with the local moment (μB).
Sites, in units of the cell vectors:
1 Te 0.000 0.000 0.500  -0.01
2 Rh 0.500 0.000 0.000  -0.04
3 Rh 0.863 0.725 0.746  -0.03
4 As 0.333 0.667 0.197  0.00
5 As 0.667 0.333 0.803  0.00
6 Ce 0.333 0.667 0.753  0.66
7 Rh 0.725 0.863 0.254  -0.03
8 Rh 0.863 0.137 0.746  -0.03
9 Rh 0.275 0.137 0.746  -0.03
10 Rh 0.137 0.275 0.254  -0.03
11 Rh 0.000 0.500 0.000  -0.04
12 Ce 0.667 0.333 0.247  0.66
13 Ce 0.000 0.000 0.000  0.01
14 Rh 0.500 0.500 0.000  -0.04
15 Rh 0.137 0.863 0.254  -0.03

# 2
First-principles (GGA-PBE) data for a geometry-optimized CeTeAs2Rh5 structure, as listed in Alexandria.

Properties
Symmetry: P4/mmm (123)

Unit cell a=4.039 b=4.039 c=10.947 alpha=90.00 beta=90.00 gamma=90.00
Each line ends with the local moment (μB).
Sites, in units of the cell vectors:
1 Te 0.000 0.000 0.000  0.00
2 Ce 0.000 0.000 0.500  0.73
3 Rh 0.000 0.500 0.843  0.00
4 Rh 0.500 0.000 0.843  0.00
5 Rh 0.000 0.500 0.157  0.00
6 Rh 0.500 0.500 0.500  -0.05
7 As 0.500 0.500 0.720  0.00
8 Rh 0.500 0.000 0.157  0.00
9 As 0.500 0.500 0.280  0.00

What did we get for formation energy (no corrections)? Answer: -7.14, -4.59 eV/f.u., in the order shown.
What did we get for Fermi-level density of states? Answer: 17.4, 8.8 states/eV/f.u., in the order shown.